A plane-wave DFT calculation with PBE was carried out for an optimized crystal structure of CsFeNi.

Summary:
As for the space-group type: F-43m. Its crystal system is cubic.

Structure (POSCAR):
```
CsFeNi
1.0
0.000 3.424 3.424
3.424 0.000 3.424
3.424 3.424 0.000
Cs Fe Ni
1 1 1
direct
0.000 0.000 0.000
0.500 0.500 0.500
0.250 0.250 0.250
```

---

A plane-wave DFT calculation with PBE was carried out for an optimized crystal structure of YErBiO2.

Summary:
As for the space-group type: I4mm. Its crystal system is tetragonal.

Structure (POSCAR):
```
YErBiO2
1.0
-1.926 1.926 6.692
1.926 -1.926 6.692
1.926 1.926 -6.692
Y Er Bi O
1 1 1 2
direct
0.000 0.000 0.000
0.336 0.336 0.000
0.667 0.667 0.000
0.415 0.915 0.500
0.915 0.415 0.500
```

---

A plane-wave DFT calculation with PBE was carried out for an optimized crystal structure of AlTlRe.

Summary:
As for the space-group type: F-43m. Its crystal system is cubic.

Structure (POSCAR):
```
AlTlRe
1.0
0.000 3.081 3.081
3.081 0.000 3.081
3.081 3.081 0.000
Al Tl Re
1 1 1
direct
0.000 0.000 0.000
0.250 0.250 0.250
0.750 0.750 0.750
```

---

A plane-wave DFT calculation with PBE was carried out for an optimized crystal structure of Y2TmIn3Fe3.

Summary:
As for the space-group type: Amm2. Its crystal system is orthorhombic.

Structure (POSCAR):
```
Y2TmIn3Fe3
1.0
3.838 0.000 0.000
0.000 6.485 3.744
0.000 -6.485 3.744
Y Tm In Fe
2 1 3 3
direct
0.000 0.205 0.795
0.000 0.795 0.205
0.000 0.610 0.610
0.500 0.204 0.462
0.500 0.462 0.204
0.500 0.944 0.944
0.000 0.206 0.206
0.500 0.539 0.867
0.500 0.867 0.539
```

---

A plane-wave DFT calculation with PBE was carried out for an optimized crystal structure of LiTmBi.

Summary:
As for the space-group type: F-43m. Its crystal system is cubic.

Structure (POSCAR):
```
LiTmBi
1.0
0.000 3.487 3.487
3.487 0.000 3.487
3.487 3.487 0.000
Li Tm Bi
1 1 1
direct
0.000 0.000 0.000
0.500 0.500 0.500
0.250 0.250 0.250
```

---

A plane-wave DFT calculation with PBE was carried out for an optimized crystal structure of Ni3I.

Summary:
As for the space-group type: P6_3/mmc. Its crystal system is hexagonal.

Structure (POSCAR):
```
Ni3I
1.0
6.025 0.000 0.000
-3.012 5.217 0.000
0.000 0.000 3.747
Ni I
6 2
direct
0.145 0.291 0.250
0.145 0.855 0.250
0.291 0.145 0.750
0.709 0.855 0.250
0.855 0.145 0.750
0.855 0.709 0.750
0.333 0.667 0.750
0.667 0.333 0.250
```

---

These records have ρ values of 5.12 8.32 11.86 7.65 7.54 8.54 g/cm3, in the order they appear.
These records have total DFT energy (no corrections) values of -10.01 -38.43 -15.59 -51.31 -11.57 -32.71 eV/cell, in the order they appear.